[1]
DFT (PBE-GGA) results for crystalline Tm4HgPb at its relaxed geometry.

The structure in CIF format:
```
data_Tm4HgPb
_chemical_formula_sum 'Tm8 Hg2 Pb2'
_space_group_name_H-M_alt 'C 1 2/m 1'
_space_group_IT_number 12
_cell_length_a 10.416
_cell_length_b 3.569
_cell_length_c 10.524
_cell_angle_alpha 90.00
_cell_angle_beta 115.59
_cell_angle_gamma 90.00
loop_
_space_group_symop_operation_xyz
'x,y,z'
'-x,-y,-z'
'-x,y,-z'
'x,-y,z'
'x+1/2,y+1/2,z'
'-x+1/2,-y+1/2,-z'
'-x+1/2,y+1/2,-z'
'x+1/2,-y+1/2,z'
loop_
_atom_site_label
_atom_site_type_symbol
_atom_site_fract_x
_atom_site_fract_y
_atom_site_fract_z
Tm1 Tm 0.144 0.000 0.358
Tm2 Tm 0.156 0.500 0.843
Hg1 Hg 0.000 0.500 0.500
Pb1 Pb 0.000 0.000 0.000
```

Summary:
E ... -0.136 Ha/atom
Energy relative to the lowest polymorph listed for this composition ... 189 meV per atom
Crystal system ... monoclinic
E_form ... -0.064 eV per atom

=====

[2]
DFT (PBE-GGA) results for crystalline Tm3Hg2Pb4 at its relaxed geometry.

The structure in CIF format:
```
data_Tm3Hg2Pb4
_chemical_formula_sum 'Tm12 Hg8 Pb16'
_space_group_name_H-M_alt 'C 1 2/c 1'
_space_group_IT_number 15
_cell_length_a 15.109
_cell_length_b 11.037
_cell_length_c 5.898
_cell_angle_alpha 90.00
_cell_angle_beta 94.93
_cell_angle_gamma 90.00
loop_
_space_group_symop_operation_xyz
'x,y,z'
'-x,-y,-z'
'-x,y,-z+1/2'
'x,-y,z+1/2'
'x+1/2,y+1/2,z'
'-x+1/2,-y+1/2,-z'
'-x+1/2,y+1/2,-z+1/2'
'x+1/2,-y+1/2,z+1/2'
loop_
_atom_site_label
_atom_site_type_symbol
_atom_site_fract_x
_atom_site_fract_y
_atom_site_fract_z
Tm1 Tm 0.000 0.123 0.250
Tm2 Tm 0.180 0.378 0.066
Hg1 Hg 0.102 0.136 0.820
Pb1 Pb 0.060 0.378 0.512
Pb2 Pb 0.212 0.128 0.386
```

Summary:
E ... -0.127 Ha/atom
Crystal system ... monoclinic
E_form ... -0.248 eV per atom

=====

[3]
DFT (PBE-GGA) results for crystalline Tm4Hg2Pb at its relaxed geometry.

The structure in CIF format:
```
data_Tm4Hg2Pb
_chemical_formula_sum 'Tm12 Hg6 Pb3'
_space_group_name_H-M_alt 'R -3 m'
_space_group_IT_number 166
_space_group_name_Hall '-R 3 2"'
_cell_length_a 5.0971
_cell_length_b 5.0971
_cell_length_c 26.2061
_cell_angle_alpha 90.00
_cell_angle_beta 90.00
_cell_angle_gamma 120.00
loop_
_atom_site_label
_atom_site_type_symbol
_atom_site_fract_x
_atom_site_fract_y
_atom_site_fract_z
Tm1 Tm 0.0000 0.0000 0.1179
Tm2 Tm 0.0000 0.0000 0.3711
Hg1 Hg 0.0000 0.0000 0.2582
Pb1 Pb 0.0000 0.0000 0.5000
```

Summary:
E ... -0.127 Ha/atom
Energy relative to the lowest polymorph listed for this composition ... 0 meV per atom
Crystal system ... trigonal
E_form ... -0.271 eV per atom

=====

[4]
DFT (PBE-GGA) results for crystalline Tm3Hg3Pb2 at its relaxed geometry.

The structure in CIF format:
```
data_Tm3Hg3Pb2
_chemical_formula_sum 'Tm9 Hg9 Pb6'
_space_group_name_H-M_alt 'R 3 2'
_space_group_IT_number 155
_space_group_name_Hall 'R 3 2"'
_cell_length_a 8.5008
_cell_length_b 8.5008
_cell_length_c 10.4171
_cell_angle_alpha 90.00
_cell_angle_beta 90.00
_cell_angle_gamma 120.00
loop_
_atom_site_label
_atom_site_type_symbol
_atom_site_fract_x
_atom_site_fract_y
_atom_site_fract_z
Tm1 Tm 0.0000 0.6627 0.0000
Hg1 Hg 0.0000 0.2684 0.5000
Pb1 Pb 0.0000 0.0000 0.1641
```

Summary:
E ... -0.110 Ha/atom
Crystal system ... trigonal
E_form ... -0.275 eV per atom

=====

[5]
DFT (PBE-GGA) results for crystalline Tm4HgPb3 at its relaxed geometry.

The structure in CIF format:
```
data_Tm4HgPb3
_chemical_formula_sum 'Tm4 Hg1 Pb3'
_space_group_name_H-M_alt 'P m m 2'
_space_group_IT_number 25
_cell_length_a 4.401
_cell_length_b 4.413
_cell_length_c 11.483
_cell_angle_alpha 90.00
_cell_angle_beta 90.00
_cell_angle_gamma 90.00
loop_
_space_group_symop_operation_xyz
'x,y,z'
'-x,-y,z'
'-x,y,z'
'x,-y,z'
loop_
_atom_site_label
_atom_site_type_symbol
_atom_site_fract_x
_atom_site_fract_y
_atom_site_fract_z
Tm1 Tm 0.000 0.000 0.000
Tm2 Tm 0.000 0.500 0.258
Tm3 Tm 0.500 0.000 0.491
Tm4 Tm 0.500 0.500 0.760
Hg1 Hg 0.500 0.000 0.226
Pb1 Pb 0.000 0.000 0.733
Pb2 Pb 0.000 0.500 0.526
Pb3 Pb 0.500 0.500 0.036
```

Summary:
E ... -0.150 Ha/atom
Crystal system ... orthorhombic
E_form ... -0.406 eV per atom

=====

[6]
DFT (PBE-GGA) results for crystalline Tm2Hg6Pb at its relaxed geometry.

The structure in CIF format:
```
data_Tm2Hg6Pb
_chemical_formula_sum 'Tm4 Hg12 Pb2'
_space_group_name_H-M_alt 'C 1 2/m 1'
_space_group_IT_number 12
_cell_length_a 15.107
_cell_length_b 8.728
_cell_length_c 3.380
_cell_angle_alpha 90.00
_cell_angle_beta 90.08
_cell_angle_gamma 90.00
loop_
_space_group_symop_operation_xyz
'x,y,z'
'-x,-y,-z'
'-x,y,-z'
'x,-y,z'
'x+1/2,y+1/2,z'
'-x+1/2,-y+1/2,-z'
'-x+1/2,y+1/2,-z'
'x+1/2,-y+1/2,z'
loop_
_atom_site_label
_atom_site_type_symbol
_atom_site_fract_x
_atom_site_fract_y
_atom_site_fract_z
Tm1 Tm 0.167 0.000 0.000
Hg1 Hg 0.000 0.164 0.500
Hg2 Hg 0.168 0.332 0.499
Pb1 Pb 0.000 0.500 0.000
```

Summary:
E ... -0.066 Ha/atom
Crystal system ... monoclinic
E_form ... -0.200 eV per atom